1.
Ba4PrZn5 after structural relaxation. Source: the Alexandria database, functional GGA-PBE.

Structure (CIF):
```
data_Ba4PrZn5
_cell_length_a 4.000
_cell_length_b 4.000
_cell_length_c 20.310
_cell_angle_alpha 90.00
_cell_angle_beta 90.00
_cell_angle_gamma 90.00
_space_group_name_H-M_alt 'P 4/m m m'
_space_group_IT_number 123
_space_group_name_Hall '-P 4 2'
loop_
_atom_site_label
_atom_site_type_symbol
_atom_site_fract_x
_atom_site_fract_y
_atom_site_fract_z
Ba1 Ba 0.000 0.000 0.103
Ba2 Ba 0.000 0.000 0.311
Pr1 Pr 0.000 0.000 0.500
Zn1 Zn 0.500 0.500 0.000
Zn2 Zn 0.500 0.500 0.207
Zn3 Zn 0.500 0.500 0.423
```

Calculated values
Volume, Å³ per cell: 325.0
Magnetic moment, μB per cell: 0.07
E_form, eV per atom: -0.1771
Total DFT energy (no corrections), eV per atom: -2.0612

2.
BaLi2OsCl8 after structural relaxation. Source: the Alexandria database, functional GGA-PBE.

Structure (CIF):
```
data_BaLi2OsCl8
_cell_length_a 6.171
_cell_length_b 6.280
_cell_length_c 8.635
_cell_angle_alpha 89.74
_cell_angle_beta 89.70
_cell_angle_gamma 79.72
_space_group_name_H-M_alt 'P -1'
_space_group_IT_number 2
loop_
_space_group_symop_operation_xyz
'x,y,z'
'-x,-y,-z'
loop_
_atom_site_label
_atom_site_type_symbol
_atom_site_fract_x
_atom_site_fract_y
_atom_site_fract_z
Ba1 Ba 0.000 0.000 0.000
Li1 Li 0.498 0.499 0.198
Os1 Os 0.000 0.000 0.500
Cl1 Cl 0.208 0.266 0.500
Cl2 Cl 0.234 0.812 0.696
Cl3 Cl 0.236 0.814 0.303
Cl4 Cl 0.313 0.334 0.000
```

Calculated values
Volume, Å³ per cell: 329.2
Magnetic moment, μB per cell: 2.00
Total DFT energy (no corrections), eV per atom: -3.9758
Energy relative to the elements, uncorrected, eV/atom: -1.3297

3.
BaTb2OsN4 after structural relaxation. Source: the Alexandria database, functional GGA-PBE.

Structure (CIF):
```
data_BaTb2OsN4
_cell_length_a 3.524
_cell_length_b 12.338
_cell_length_c 12.196
_cell_angle_alpha 90.00
_cell_angle_beta 90.00
_cell_angle_gamma 90.00
_space_group_name_H-M_alt 'C m c m'
_space_group_IT_number 63
_space_group_name_Hall '-C 2c 2'
loop_
_atom_site_label
_atom_site_type_symbol
_atom_site_fract_x
_atom_site_fract_y
_atom_site_fract_z
Ba1 Ba 0.000 0.071 0.250
Tb1 Tb 0.000 0.370 0.041
Os1 Os 0.000 0.192 0.750
N1 N 0.000 0.000 0.000
N2 N 0.000 0.254 0.608
N3 N 0.000 0.386 0.250
```

Calculated values
Volume, Å³ per cell: 530.2
Magnetic moment, μB per cell: 0.00
Total DFT energy (no corrections), eV per atom: -7.8210
Energy relative to the elements, uncorrected, eV/atom: -0.8567